(1)
Density functional theory data (PBE-GGA) for an optimized crystal structure of LaTaRh2.

a = 6.622 Å, b = 6.622 Å, c = 6.622 Å
α = 90.00°, β = 90.00°, γ = 90.00°
Element x y z (fractional)
La: 0.000 0.000 0.000
La: 0.000 0.500 0.500
La: 0.500 0.000 0.500
La: 0.500 0.500 0.000
Ta: 0.250 0.250 0.250
Ta: 0.250 0.750 0.750
Ta: 0.750 0.250 0.750
Ta: 0.750 0.750 0.250
Rh: 0.000 0.000 0.500
Rh: 0.000 0.500 0.000
Rh: 0.250 0.250 0.750
Rh: 0.250 0.750 0.250
Rh: 0.500 0.000 0.000
Rh: 0.500 0.500 0.500
Rh: 0.750 0.250 0.250
Rh: 0.750 0.750 0.750

## Properties
* crystal system: cubic
* SG: F-43m

---

(2)
Density functional theory data (PBE-GGA) for an optimized crystal structure of LaTaRh2.

a = 3.337 Å, b = 4.476 Å, c = 5.598 Å
α = 90.00°, β = 107.20°, γ = 90.00°
Element x y z (fractional)
La: 0.000 0.000 0.000
Ta: 0.271 0.500 0.544
Rh: 0.577 0.500 0.156
Rh: 0.743 0.000 0.491

## Properties
* crystal system: monoclinic
* SG: Pm

---

(3)
Density functional theory data (PBE-GGA) for an optimized crystal structure of LaTaRh2.

a = 6.754 Å, b = 6.754 Å, c = 6.754 Å
α = 90.00°, β = 90.00°, γ = 90.00°
Element x y z (fractional)
La: 0.000 0.000 0.000
La: 0.000 0.500 0.500
La: 0.500 0.000 0.500
La: 0.500 0.500 0.000
Ta: 0.000 0.000 0.500
Ta: 0.000 0.500 0.000
Ta: 0.500 0.000 0.000
Ta: 0.500 0.500 0.500
Rh: 0.250 0.250 0.250
Rh: 0.250 0.250 0.750
Rh: 0.250 0.750 0.250
Rh: 0.250 0.750 0.750
Rh: 0.750 0.250 0.250
Rh: 0.750 0.250 0.750
Rh: 0.750 0.750 0.250
Rh: 0.750 0.750 0.750

## Properties
* crystal system: cubic
* SG: Fm-3m

---

(4)
Density functional theory data (PBE-GGA) for an optimized crystal structure of LaTaRh2.

a = 9.860 Å, b = 3.074 Å, c = 5.166 Å
α = 90.00°, β = 96.23°, γ = 90.00°
Element x y z (fractional)
La: 0.000 0.000 0.000
La: 0.500 0.500 0.000
Ta: 0.281 0.500 0.392
Ta: 0.781 0.000 0.392
Rh: 0.010 0.500 0.503
Rh: 0.245 0.000 0.803
Rh: 0.510 0.000 0.503
Rh: 0.745 0.500 0.803

## Properties
* crystal system: monoclinic
* SG: Cm

---

(5)
Density functional theory data (PBE-GGA) for an optimized crystal structure of LaTaRh4.

a = 5.295 Å, b = 5.295 Å, c = 5.295 Å
α = 60.00°, β = 60.00°, γ = 60.00°
Element x y z (fractional)
La: 0.000 0.000 0.000
Ta: 0.250 0.250 0.250
Rh: 0.126 0.625 0.625
Rh: 0.625 0.126 0.625
Rh: 0.625 0.625 0.126
Rh: 0.625 0.625 0.625

## Properties
* crystal system: cubic
* SG: F-43m

---

(6)
Density functional theory data (PBE-GGA) for an optimized crystal structure of LaTaRh2.

a = 3.518 Å, b = 3.518 Å, c = 6.692 Å
α = 90.00°, β = 90.00°, γ = 90.00°
Element x y z (fractional)
La: 0.000 0.000 0.000
Ta: 0.500 0.500 0.614
Rh: 0.000 0.000 0.488
Rh: 0.500 0.500 0.238

## Properties
* crystal system: tetragonal
* SG: P4mm

---

(7)
Density functional theory data (PBE-GGA) for an optimized crystal structure of La4TaRh.

a = 6.190 Å, b = 6.190 Å, c = 6.190 Å
α = 60.00°, β = 60.00°, γ = 60.00°
Element x y z (fractional)
La: 0.125 0.125 0.125
La: 0.125 0.125 0.626
La: 0.125 0.626 0.125
La: 0.626 0.125 0.125
Ta: 0.500 0.500 0.500
Rh: 0.750 0.750 0.750

## Properties
* crystal system: cubic
* SG: F-43m

---

(8)
Density functional theory data (PBE-GGA) for an optimized crystal structure of LaTa3Rh.

a = 4.929 Å, b = 4.929 Å, c = 4.929 Å
α = 90.00°, β = 90.00°, γ = 90.00°
Element x y z (fractional)
La: 0.000 0.000 0.000
Ta: 0.000 0.500 0.500
Ta: 0.500 0.000 0.500
Ta: 0.500 0.500 0.000
Rh: 0.500 0.500 0.500

## Properties
* crystal system: cubic
* ΔE to the lowest computed polymorph: 0.0 meV per atom
* SG: Pm-3m

---

(9)
Density functional theory data (PBE-GGA) for an optimized crystal structure of LaTaRh2.

a = 7.381 Å, b = 7.381 Å, c = 6.233 Å
α = 90.00°, β = 90.00°, γ = 90.00°
Element x y z (fractional)
La: 0.000 0.000 0.000
La: 0.000 0.500 0.250
La: 0.500 0.000 0.750
La: 0.500 0.500 0.500
Ta: 0.000 0.000 0.500
Ta: 0.000 0.500 0.750
Ta: 0.500 0.000 0.250
Ta: 0.500 0.500 0.000
Rh: 0.207 0.250 0.625
Rh: 0.250 0.707 0.875
Rh: 0.250 0.793 0.375
Rh: 0.293 0.250 0.125
Rh: 0.707 0.750 0.125
Rh: 0.750 0.207 0.375
Rh: 0.750 0.293 0.875
Rh: 0.793 0.750 0.625

## Properties
* crystal system: tetragonal
* SG: I-42d

---

(10)
Density functional theory data (PBE-GGA) for an optimized crystal structure of LaTaRh2.

a = 3.989 Å, b = 3.989 Å, c = 9.641 Å
α = 90.00°, β = 90.00°, γ = 90.00°
Element x y z (fractional)
La: 0.000 0.000 0.000
La: 0.500 0.500 0.500
Ta: 0.000 0.500 0.250
Ta: 0.500 0.000 0.750
Rh: 0.000 0.000 0.500
Rh: 0.000 0.500 0.750
Rh: 0.500 0.000 0.250
Rh: 0.500 0.500 0.000

## Properties
* crystal system: tetragonal
* SG: I-4m2

---

(11)
Density functional theory data (PBE-GGA) for an optimized crystal structure of LaTa2TiRh.

a = 4.880 Å, b = 4.880 Å, c = 5.334 Å
α = 90.00°, β = 90.00°, γ = 90.00°
Element x y z (fractional)
La: 0.000 0.000 0.000
Ta: 0.000 0.500 0.500
Ta: 0.500 0.000 0.500
Ti: 0.500 0.500 0.000
Rh: 0.000 0.000 0.500

## Properties
* crystal system: tetragonal
* SG: P4/mmm

---

(12)
Density functional theory data (PBE-GGA) for an optimized crystal structure of LaY2TaRh.

a = 5.401 Å, b = 5.401 Å, c = 4.916 Å
α = 90.00°, β = 90.00°, γ = 90.00°
Element x y z (fractional)
La: 0.000 0.000 0.000
Y: 0.000 0.500 0.000
Y: 0.500 0.000 0.000
Ta: 0.000 0.000 0.500
Rh: 0.500 0.500 0.500

## Properties
* crystal system: tetragonal
* SG: P4/mmm

---

(13)
Density functional theory data (PBE-GGA) for an optimized crystal structure of La3Tb2Rh2.

a = 3.953 Å, b = 6.569 Å, c = 8.539 Å
α = 72.76°, β = 89.92°, γ = 72.57°
Element x y z (fractional)
La: 0.000 0.000 0.000
La: 0.130 0.745 0.436
La: 0.870 0.255 0.564
Tb: 0.324 0.351 0.184
Tb: 0.676 0.649 0.816
Rh: 0.336 0.329 0.829
Rh: 0.664 0.671 0.171

## Properties
* crystal system: triclinic
* SG: P-1

---

(14)
Density functional theory data (PBE-GGA) for an optimized crystal structure of LaTb4Rh5.

a = 3.434 Å, b = 3.434 Å, c = 17.735 Å
α = 90.00°, β = 90.00°, γ = 90.00°
Element x y z (fractional)
La: 0.000 0.000 0.000
Tb: 0.000 0.000 0.205
Tb: 0.000 0.000 0.402
Tb: 0.000 0.000 0.598
Tb: 0.000 0.000 0.795
Rh: 0.500 0.500 0.110
Rh: 0.500 0.500 0.304
Rh: 0.500 0.500 0.500
Rh: 0.500 0.500 0.696
Rh: 0.500 0.500 0.890

## Properties
* crystal system: tetragonal
* SG: P4/mmm

---

(15)
Density functional theory data (PBE-GGA) for an optimized crystal structure of LaTb2Rh3.

a = 4.937 Å, b = 4.937 Å, c = 6.061 Å
α = 90.00°, β = 90.00°, γ = 120.00°
Element x y z (fractional)
La: 0.000 0.000 0.000
Tb: 0.333 0.667 0.662
Tb: 0.667 0.333 0.338
Rh: 0.000 0.000 0.500
Rh: 0.333 0.667 0.178
Rh: 0.667 0.333 0.822

## Properties
* crystal system: trigonal
* SG: P-3m1

---

(16)
Density functional theory data (PBE-GGA) for an optimized crystal structure of La3TbRh.

a = 7.890 Å, b = 6.756 Å, c = 6.434 Å
α = 90.00°, β = 90.00°, γ = 90.00°
Element x y z (fractional)
La: 0.000 0.147 0.000
La: 0.249 0.315 0.500
La: 0.251 0.685 0.000
La: 0.500 0.853 0.500
La: 0.749 0.685 0.000
La: 0.751 0.315 0.500
Tb: 0.000 0.839 0.505
Tb: 0.500 0.161 0.005
Rh: 0.000 0.502 0.250
Rh: 0.500 0.498 0.750

## Properties
* crystal system: orthorhombic
* ΔE to the lowest computed polymorph: 86.9 meV per atom
* SG: Pmn2_1

---

(17)
Density functional theory data (PBE-GGA) for an optimized crystal structure of La6TbRh4.

a = 6.262 Å, b = 6.461 Å, c = 8.407 Å
α = 101.70°, β = 105.42°, γ = 105.58°
Element x y z (fractional)
La: 0.000 0.000 0.000
La: 0.023 0.212 0.434
La: 0.233 0.544 0.904
La: 0.428 0.855 0.389
La: 0.658 0.519 0.616
La: 0.793 0.551 0.207
Tb: 0.458 0.079 0.816
Rh: 0.060 0.760 0.562
Rh: 0.398 0.304 0.265
Rh: 0.590 0.970 0.124
Rh: 0.859 0.093 0.696

## Properties
* crystal system: triclinic
* SG: P1

---

(18)
Density functional theory data (PBE-GGA) for an optimized crystal structure of LaTb3Rh4.

a = 8.554 Å, b = 8.554 Å, c = 8.554 Å
α = 33.39°, β = 33.39°, γ = 33.39°
Element x y z (fractional)
La: 0.000 0.000 0.000
Tb: 0.248 0.248 0.248
Tb: 0.500 0.500 0.500
Tb: 0.752 0.752 0.752
Rh: 0.127 0.127 0.127
Rh: 0.377 0.377 0.377
Rh: 0.623 0.623 0.623
Rh: 0.873 0.873 0.873

## Properties
* crystal system: trigonal
* SG: R-3m

---

(19)
Density functional theory data (PBE-GGA) for an optimized crystal structure of La2Tb2Rh3.

a = 7.636 Å, b = 7.636 Å, c = 7.636 Å
α = 109.47°, β = 109.47°, γ = 109.47°
Element x y z (fractional)
La: 0.000 0.119 0.500
La: 0.119 0.500 0.000
La: 0.381 0.381 0.381
La: 0.500 0.000 0.119
Tb: 0.000 0.613 0.500
Tb: 0.500 0.000 0.613
Tb: 0.613 0.500 0.000
Tb: 0.887 0.887 0.887
Rh: 0.091 0.841 0.250
Rh: 0.250 0.091 0.841
Rh: 0.409 0.659 0.750
Rh: 0.659 0.750 0.409
Rh: 0.750 0.409 0.659
Rh: 0.841 0.250 0.091

## Properties
* crystal system: cubic
* SG: I2_13

---

(20)
Density functional theory data (PBE-GGA) for an optimized crystal structure of La3TbRh.

a = 5.637 Å, b = 5.637 Å, c = 5.637 Å
α = 90.00°, β = 90.00°, γ = 90.00°
Element x y z (fractional)
La: 0.000 0.000 0.500
La: 0.000 0.500 0.000
La: 0.500 0.000 0.000
Tb: 0.500 0.500 0.500
Rh: 0.000 0.000 0.000

## Properties
* crystal system: cubic
* ΔE to the lowest computed polymorph: 178.8 meV per atom
* SG: Pm-3m

---

(21)
Density functional theory data (PBE-GGA) for an optimized crystal structure of La3TbRh.

a = 6.493 Å, b = 6.493 Å, c = 14.245 Å
α = 112.86°, β = 112.86°, γ = 34.73°
Element x y z (fractional)
La: 0.000 0.000 0.000
La: 0.007 0.007 0.364
La: 0.342 0.342 0.761
La: 0.349 0.349 0.128
La: 0.557 0.557 0.611
La: 0.671 0.671 0.896
Tb: 0.681 0.681 0.243
Tb: 0.788 0.788 0.511
Rh: 0.338 0.338 0.389
Rh: 0.998 0.998 0.728

## Properties
* crystal system: monoclinic
* ΔE to the lowest computed polymorph: 0.0 meV per atom
* SG: Cm

---

(22)
Density functional theory data (PBE-GGA) for an optimized crystal structure of LaTb2Rh9.

a = 9.307 Å, b = 9.307 Å, c = 9.307 Å
α = 33.12°, β = 33.12°, γ = 33.12°
Element x y z (fractional)
La: 0.000 0.000 0.000
Tb: 0.139 0.139 0.139
Tb: 0.861 0.861 0.861
Rh: 0.083 0.584 0.584
Rh: 0.333 0.333 0.333
Rh: 0.416 0.416 0.917
Rh: 0.416 0.917 0.416
Rh: 0.500 0.500 0.500
Rh: 0.584 0.083 0.584
Rh: 0.584 0.584 0.083
Rh: 0.667 0.667 0.667
Rh: 0.917 0.416 0.416

## Properties
* crystal system: trigonal
* SG: R-3m

---

(23)
Density functional theory data (PBE-GGA) for an optimized crystal structure of LaTbTh2Rh4.

a = 7.091 Å, b = 5.784 Å, c = 6.910 Å
α = 67.24°, β = 48.78°, γ = 63.99°
Element x y z (fractional)
La: 0.000 0.000 0.000
Tb: 0.435 0.435 0.565
Th: 0.261 0.261 0.239
Th: 0.761 0.761 0.739
Rh: 0.280 0.751 0.249
Rh: 0.518 0.923 0.482
Rh: 0.751 0.280 0.720
Rh: 0.923 0.518 0.077

## Properties
* crystal system: orthorhombic
* SG: Fmm2

---

(24)
Density functional theory data (PBE-GGA) for an optimized crystal structure of La2TcRh.

a = 4.133 Å, b = 4.133 Å, c = 10.488 Å
α = 90.00°, β = 90.00°, γ = 90.00°
Element x y z (fractional)
La: 0.000 0.000 0.000
La: 0.000 0.500 0.250
La: 0.500 0.000 0.750
La: 0.500 0.500 0.500
Tc: 0.000 0.000 0.500
Tc: 0.500 0.500 0.000
Rh: 0.000 0.500 0.750
Rh: 0.500 0.000 0.250

## Properties
* crystal system: tetragonal
* ΔE to the lowest computed polymorph: 187.6 meV per atom
* SG: I-4m2

---

(25)
Density functional theory data (PBE-GGA) for an optimized crystal structure of La2TcRh.

a = 7.513 Å, b = 7.513 Å, c = 6.463 Å
α = 90.00°, β = 90.00°, γ = 90.00°
Element x y z (fractional)
La: 0.241 0.250 0.125
La: 0.250 0.741 0.375
La: 0.250 0.759 0.875
La: 0.259 0.250 0.625
La: 0.741 0.750 0.625
La: 0.750 0.241 0.875
La: 0.750 0.259 0.375
La: 0.759 0.750 0.125
Tc: 0.000 0.000 0.000
Tc: 0.000 0.500 0.250
Tc: 0.500 0.000 0.750
Tc: 0.500 0.500 0.500
Rh: 0.000 0.000 0.500
Rh: 0.000 0.500 0.750
Rh: 0.500 0.000 0.250
Rh: 0.500 0.500 0.000

## Properties
* crystal system: tetragonal
* ΔE to the lowest computed polymorph: 274.5 meV per atom
* SG: I-42d

---

(26)
Density functional theory data (PBE-GGA) for an optimized crystal structure of La2TcRh.

a = 5.087 Å, b = 5.108 Å, c = 7.046 Å
α = 90.00°, β = 90.00°, γ = 90.00°
Element x y z (fractional)
La: 0.000 0.000 0.249
La: 0.000 0.000 0.751
La: 0.500 0.500 0.249
La: 0.500 0.500 0.751
Tc: 0.000 0.500 0.000
Tc: 0.500 0.000 0.000
Rh: 0.000 0.500 0.500
Rh: 0.500 0.000 0.500

## Properties
* crystal system: orthorhombic
* ΔE to the lowest computed polymorph: 57.6 meV per atom
* SG: Cmmm

---

| no. | DOS(E_F) (states/eV/cell) | electronic total energy (eV per atom) | energy of formation (eV per atom) |
| --- | --- | --- | --- |
| 1 | 25.9 | -7.879 | -0.009 |
| 2 | 2.7 | -8.241 | -0.370 |
| 3 | 13.9 | -8.071 | -0.200 |
| 4 | 5.4 | -8.089 | -0.218 |
| 5 | 7.4 | -7.933 | -0.235 |
| 6 | 4.0 | -8.027 | -0.157 |
| 7 | 9.2 | -5.585 | 0.901 |
| 8 | 11.5 | -8.791 | 0.776 |
| 9 | 5.8 | -8.003 | -0.132 |
| 10 | 6.5 | -7.943 | -0.072 |
| 11 | 9.6 | -7.818 | 0.958 |
| 12 | 7.4 | -5.858 | 1.554 |
| 13 | 8.8 | -6.026 | -0.491 |
| 14 | 7.3 | -6.811 | -0.790 |
| 15 | 4.8 | -6.805 | -0.765 |
| 16 | 14.7 | -5.619 | -0.266 |
| 17 | 9.6 | -6.355 | -0.574 |
| 18 | 5.0 | -6.814 | -0.786 |
| 19 | 7.1 | -6.619 | -0.737 |
| 20 | 9.7 | -5.527 | -0.174 |
| 21 | 12.9 | -5.706 | -0.353 |
| 22 | 13.7 | -7.262 | -0.566 |
| 23 | 5.5 | -7.504 | -0.778 |
| 24 | 10.6 | -6.871 | 0.022 |
| 25 | 13.8 | -6.784 | 0.109 |
| 26 | 13.8 | -7.001 | -0.108 |